{
  "formula": "AlPt",
  "functional": "GGA-PBE",
  "state": "optimized geometry",
  "n_ef_per_ev_atom": 0.34,
  "sg": "Pmmn (59)",
  "crystal_system": "orthorhombic",
  "formation_enthalpy_0k_mev_per_atom": -881,
  "mass_density_g_cm3": 12.1,
  "total_energy_ev_per_atom": -5.7730,
  "cell": [[2.849, 0.000, 0.000], [0.000, 4.813, 0.000], [0.000, 0.000, 4.429]],
  "species": ["Al", "Al", "Pt", "Pt"],
  "fractional_positions": [[0.000, 0.000, 0.047], [0.500, 0.500, 0.786], [0.500, 0.000, 0.558], [0.000, 0.500, 0.275]]
}